# MnCo2Mo (PBE, relaxed)
data_MnCo2Mo
_chemical_formula_sum 'Mn1 Co2 Mo1'
_cell_length_a 2.6096
_cell_length_b 3.4942
_cell_length_c 5.2929
_cell_angle_alpha 90.00
_cell_angle_beta 90.00
_cell_angle_gamma 90.00
_space_group_name_H-M_alt 'P 1'
_space_group_IT_number 1
loop_
_space_group_symop_operation_xyz
'x,y,z'
loop_
_atom_site_label
_atom_site_type_symbol
_atom_site_fract_x
_atom_site_fract_y
_atom_site_fract_z
Co1 Co 0.5000 0.5000 0.2530
Co2 Co 0.0000 0.0000 0.0187
Mo1 Mo 0.5000 0.5000 0.7586
Mn1 Mn 0.0000 0.0000 0.4698
# ΔE_f	0.11	eV per atom
# DFT total energy	-33.758	eV/cell
# relative energy among the computed polymorphs	0.121	eV/atom
# space-group type	No. 25
# ρ	9246	kg/m3
# spin magnetization	0.034	μB per atom